Here is a relaxed CrWF2 crystal from Alexandria. Energies are from GGA+U.

Properties
Volume (A^3/atom): 13.79
Raw total energy (eV/atom): -5.318

Cell lengths 7.7721, 7.7721, 7.7721 Å; angles 21.48, 21.48, 21.48 degrees
Element x y z (fractional)
Cr  0.5000  0.5000  0.5000
W  0.0000  0.0000  0.0000
F  0.9072  0.9072  0.9072
F  0.0928  0.0928  0.0928